Computed, not measured: a relaxed structure of In2SiTeMo at the PBE level of DFT.

Cell lengths 5.4470, 4.6933, 5.4470 Å; angles 90.00, 90.00, 90.00 degrees
Each line ends with the local moment (μB).
Fractional coordinates of all 5 atoms:
Mo 0.0000 0.0000 0.0000  0.99
Te 0.5000 0.5000 0.5000  0.17
Si 0.0000 0.5000 0.0000  -0.03
In 0.0000 0.0000 0.5000  0.00
In 0.5000 0.0000 0.0000  0.01

Computed properties:
Density ... 5.739 g/cm³
Symmetry ... P4/mmm (123)
Formation energy from raw total energies ... 580.1 meV/atom
E ... -4.39 eV/atom

Computed, not measured: a relaxed structure of InSn2Mo2 at the PBE level of DFT.

Cell lengths 7.3636, 7.3636, 3.7144 Å; angles 90.00, 90.00, 90.00 degrees
Fractional coordinates of all 10 atoms:
Mo 0.3591 0.8591 0.0000
Mo 0.8591 0.6409 0.0000
Mo 0.6409 0.1409 0.0000
Mo 0.1409 0.3591 0.0000
Sn 0.1545 0.6545 0.5000
Sn 0.6545 0.8455 0.5000
Sn 0.8455 0.3455 0.5000
Sn 0.3455 0.1545 0.5000
In 0.0000 0.0000 0.0000
In 0.5000 0.5000 0.0000

Computed properties:
Density ... 8.972 g/cm³
Symmetry ... P4/mbm (127)
E ... -6.23 eV/atom

Q: E of number 1 (In2SiTeMo)?
A: -4.39 eV/atom

Please write out number 1 again, unchanged.
Computed, not measured: a relaxed structure of In2SiTeMo at the PBE level of DFT.

Cell lengths 5.4470, 4.6933, 5.4470 Å; angles 90.00, 90.00, 90.00 degrees
Each line ends with the local moment (μB).
Fractional coordinates of all 5 atoms:
Mo 0.0000 0.0000 0.0000  0.99
Te 0.5000 0.5000 0.5000  0.17
Si 0.0000 0.5000 0.0000  -0.03
In 0.0000 0.0000 0.5000  0.00
In 0.5000 0.0000 0.0000  0.01

Computed properties:
Density ... 5.739 g/cm³
Symmetry ... P4/mmm (123)
Formation energy from raw total energies ... 580.1 meV/atom
E ... -4.39 eV/atom

Please write out number 1 again, unchanged.
Computed, not measured: a relaxed structure of In2SiTeMo at the PBE level of DFT.

Cell lengths 5.4470, 4.6933, 5.4470 Å; angles 90.00, 90.00, 90.00 degrees
Each line ends with the local moment (μB).
Fractional coordinates of all 5 atoms:
Mo 0.0000 0.0000 0.0000  0.99
Te 0.5000 0.5000 0.5000  0.17
Si 0.0000 0.5000 0.0000  -0.03
In 0.0000 0.0000 0.5000  0.00
In 0.5000 0.0000 0.0000  0.01

Computed properties:
Density ... 5.739 g/cm³
Symmetry ... P4/mmm (123)
Formation energy from raw total energies ... 580.1 meV/atom
E ... -4.39 eV/atom